Entry from Alexandria via LeMat-Bulk: CdCuP after structural relaxation (GGA-PBE).

```
3
Lattice="6.519 0.125 -0.134 5.830 2.920 -0.139 0.689 0.176 2.789" Properties=species:S:1:pos:R:3 pbc="T T T"
P 8.866 2.188 0.642
Cd 12.159 2.999 -0.223
Cu 4.362 1.080 1.825
```

Output
**Symmetry**: No. 107
**E_form**: 268 meV per atom
**Total moment**: 0.00 μB/atom